VASP calculation (GGA-PBE) on a relaxed structure of Tb3Bi2Se.

The structure in POSCAR format:
```
Tb3Bi2Se
1.0
0.0000 6.1826 13.0830
4.3691 0.0000 13.0830
4.3691 6.1826 0.0000
Tb Bi Se
12 8 4
Direct
0.0406 0.5374 0.1990 Tb
0.1094 0.6406 0.6406 Tb
0.1990 0.7230 0.0406 Tb
0.2770 0.8010 0.4626 Tb
0.3594 0.8906 0.8906 Tb
0.4626 0.9594 0.2770 Tb
0.5374 0.0406 0.7230 Tb
0.6406 0.1094 0.1094 Tb
0.7230 0.1990 0.5374 Tb
0.8010 0.2770 0.9594 Tb
0.8906 0.3594 0.3594 Tb
0.9594 0.4626 0.8010 Tb
0.1267 0.1267 0.6233 Bi
0.2937 0.2937 0.4563 Bi
0.3767 0.3767 0.8733 Bi
0.4563 0.4563 0.2937 Bi
0.5437 0.5437 0.7063 Bi
0.6233 0.6233 0.1267 Bi
0.7063 0.7063 0.5437 Bi
0.8733 0.8733 0.3767 Bi
0.0416 0.0416 0.2084 Se
0.2084 0.2084 0.0416 Se
0.7916 0.7916 0.9584 Se
0.9584 0.9584 0.7916 Se
```

Symmetry   No. 70
Polymorph energy (0 for the lowest one)   0.0 meV per atom
D(E_F)   6.62 states/eV per cell
Total energy   -5.35 eV/atom
Energy relative to the elements, uncorrected   -1.160 eV per atom



VASP calculation (GGA-PBE) on a relaxed structure of Tb4BiSe2.

The structure in POSCAR format:
```
Tb4BiSe2
1.0
2.0859 -6.6823 0.0000
2.0859 6.6823 0.0000
0.0000 0.0000 13.9027
Tb Bi Se
8 2 4
Direct
0.0000 0.0000 0.0000 Tb
0.0000 0.0000 0.5000 Tb
0.2684 0.7316 0.6206 Tb
0.2684 0.7316 0.8794 Tb
0.4297 0.5703 0.2500 Tb
0.5703 0.4297 0.7500 Tb
0.7316 0.2684 0.1206 Tb
0.7316 0.2684 0.3794 Tb
0.1047 0.8953 0.2500 Bi
0.8953 0.1047 0.7500 Bi
0.3647 0.6353 0.0590 Se
0.3647 0.6353 0.4410 Se
0.6353 0.3647 0.5590 Se
0.6353 0.3647 0.9410 Se
```

Symmetry   No. 63
D(E_F)   8.64 states/eV per cell
Total energy   -5.45 eV/atom
Energy relative to the elements, uncorrected   -1.259 eV per atom



VASP calculation (GGA-PBE) on a relaxed structure of Tb4BiSe3.

The structure in POSCAR format:
```
Tb4BiSe3
1.0
4.2059 0.0000 0.0000
0.0000 5.9482 0.0000
0.0000 0.0000 8.4083
Tb Bi Se
4 1 3
Direct
0.0000 0.0000 0.0000 Tb
0.0000 0.0000 0.5000 Tb
0.5000 0.5000 0.2302 Tb
0.5000 0.5000 0.7698 Tb
0.0000 0.5000 0.5000 Bi
0.0000 0.5000 0.0000 Se
0.5000 0.0000 0.2477 Se
0.5000 0.0000 0.7523 Se
```

Symmetry   No. 47
D(E_F)   2.92 states/eV per cell
Total energy   -5.62 eV/atom
Energy relative to the elements, uncorrected   -1.514 eV per atom



Q: Among the records above, which one has the highest energy relative to the elements, uncorrected?
A: Tb3Bi2Se



Q: What is the formula in the first record?
A: Tb3Bi2Se



Q: Number 2 is which compound?
A: Tb4BiSe2



Q: What is the energy relative to the elements, uncorrected in the second record?
A: -1.259 eV per atom